# DyNpAs, relaxed, DFT PBE
data_DyNpAs
_chemical_formula_sum 'Dy4 Np4 As4'
_cell_length_a 6.836
_cell_length_b 6.836
_cell_length_c 6.836
_cell_angle_alpha 90.00
_cell_angle_beta 90.00
_cell_angle_gamma 90.00
_symmetry_space_group_name_H-M 'F -4 3 m'
_symmetry_Int_Tables_number 216
_symmetry_space_group_name_Hall 'F -4 2 3'
loop_
_atom_site_label
_atom_site_type_symbol
_atom_site_fract_x
_atom_site_fract_y
_atom_site_fract_z
Dy1 Dy 0.000 0.000 0.000
Np1 Np 0.000 0.000 0.500
As1 As 0.250 0.250 0.250
# Relative energy among the computed polymorphs: 0 meV per atom
# Crystal system: cubic

---

# Sm3AlNiS7, relaxed, DFT PBE
data_Sm3AlNiS7
_chemical_formula_sum 'Sm6 Al2 Ni2 S14'
_cell_length_a 9.7311
_cell_length_b 9.7311
_cell_length_c 6.2027
_cell_angle_alpha 90.00
_cell_angle_beta 90.00
_cell_angle_gamma 120.00
_symmetry_space_group_name_H-M 'P 63'
_symmetry_Int_Tables_number 173
_symmetry_space_group_name_Hall 'P 6c'
loop_
_atom_site_label
_atom_site_type_symbol
_atom_site_fract_x
_atom_site_fract_y
_atom_site_fract_z
Sm1 Sm 0.1532 0.3751 0.0000
Al1 Al 0.3333 0.6667 0.4249
Ni1 Ni 0.0000 0.0000 0.3255
S1 S 0.0917 0.5707 0.2749
S2 S 0.0955 0.2275 0.5870
S3 S 0.3333 0.6667 0.7853
# Crystal system: hexagonal

---

# Li4CdHg5, relaxed, DFT PBE
data_Li4CdHg5
_chemical_formula_sum 'Li4 Cd1 Hg5'
_cell_length_a 3.375
_cell_length_b 3.375
_cell_length_c 16.897
_cell_angle_alpha 90.00
_cell_angle_beta 90.00
_cell_angle_gamma 90.00
_symmetry_space_group_name_H-M 'P 4/m m m'
_symmetry_Int_Tables_number 123
_symmetry_space_group_name_Hall '-P 4 2'
loop_
_atom_site_label
_atom_site_type_symbol
_atom_site_fract_x
_atom_site_fract_y
_atom_site_fract_z
Li1 Li 0.000 0.000 0.096
Li2 Li 0.000 0.000 0.289
Cd1 Cd 0.000 0.000 0.500
Hg1 Hg 0.500 0.500 0.000
Hg2 Hg 0.500 0.500 0.191
Hg3 Hg 0.500 0.500 0.380
# Crystal system: tetragonal

---

# TmMgAl4Ni2, relaxed, DFT PBE
data_TmMgAl4Ni2
_chemical_formula_sum 'Tm2 Mg2 Al8 Ni4'
_cell_length_a 6.912
_cell_length_b 4.022
_cell_length_c 9.520
_cell_angle_alpha 90.00
_cell_angle_beta 90.00
_cell_angle_gamma 90.00
_symmetry_space_group_name_H-M 'A m m 2'
_symmetry_Int_Tables_number 38
_symmetry_space_group_name_Hall 'A 2 -2'
loop_
_atom_site_label
_atom_site_type_symbol
_atom_site_fract_x
_atom_site_fract_y
_atom_site_fract_z
Tm1 Tm 0.000 0.000 0.000
Mg1 Mg 0.500 0.000 0.874
Al1 Al 0.202 0.000 0.289
Al2 Al 0.308 0.000 0.591
Ni1 Ni 0.000 0.000 0.719
Ni2 Ni 0.500 0.000 0.149
# Crystal system: orthorhombic

---

# GdDy2In3NiGe2, relaxed, DFT PBE
data_GdDy2In3NiGe2
_chemical_formula_sum 'Gd2 Dy4 In6 Ni2 Ge4'
_cell_length_a 4.248
_cell_length_b 12.706
_cell_length_c 7.328
_cell_angle_alpha 90.00
_cell_angle_beta 90.00
_cell_angle_gamma 90.00
_symmetry_space_group_name_H-M 'A m m 2'
_symmetry_Int_Tables_number 38
_symmetry_space_group_name_Hall 'A 2 -2'
loop_
_atom_site_label
_atom_site_type_symbol
_atom_site_fract_x
_atom_site_fract_y
_atom_site_fract_z
Gd1 Gd 0.000 0.000 0.000
Dy1 Dy 0.000 0.201 0.396
In1 In 0.500 0.000 0.358
In2 In 0.500 0.120 0.716
Ni1 Ni 0.000 0.000 0.596
Ge1 Ge 0.500 0.167 0.097
# Crystal system: orthorhombic

---

# Gd3Ni, relaxed, DFT PBE
data_Gd3Ni
_chemical_formula_sum 'Gd12 Ni4'
_cell_length_a 7.399
_cell_length_b 7.399
_cell_length_c 7.399
_cell_angle_alpha 90.00
_cell_angle_beta 90.00
_cell_angle_gamma 90.00
_symmetry_space_group_name_H-M 'F m -3 m'
_symmetry_Int_Tables_number 225
_symmetry_space_group_name_Hall '-F 4 2 3'
loop_
_atom_site_label
_atom_site_type_symbol
_atom_site_fract_x
_atom_site_fract_y
_atom_site_fract_z
Gd1 Gd 0.000 0.000 0.000
Gd2 Gd 0.250 0.250 0.250
Ni1 Ni 0.000 0.000 0.500
# Formation enthalpy at 0 K: 0.225 eV per atom
# Relative energy among the computed polymorphs: 147 meV per atom
# Crystal system: cubic

---

# Co2Re, relaxed, DFT PBE
data_Co2Re
_chemical_formula_sum 'Co16 Re8'
_cell_length_a 4.575
_cell_length_b 8.494
_cell_length_c 7.792
_cell_angle_alpha 90.00
_cell_angle_beta 90.00
_cell_angle_gamma 90.00
_symmetry_space_group_name_H-M 'C m c m'
_symmetry_Int_Tables_number 63
_symmetry_space_group_name_Hall '-C 2c 2'
loop_
_atom_site_label
_atom_site_type_symbol
_atom_site_fract_x
_atom_site_fract_y
_atom_site_fract_z
Co1 Co 0.000 0.190 0.066
Co2 Co 0.238 0.069 0.750
Re1 Re 0.000 0.309 0.750
Re2 Re 0.000 0.500 0.000
# Formation enthalpy at 0 K: 0.380 eV per atom
# Relative energy among the computed polymorphs: 325 meV per atom
# Crystal system: orthorhombic

---

# Y2ErMg3Al2Zn, relaxed, DFT PBE
data_Y2ErMg3Al2Zn
_chemical_formula_sum 'Y4 Er2 Mg6 Al4 Zn2'
_cell_length_a 4.442
_cell_length_b 12.715
_cell_length_c 7.381
_cell_angle_alpha 90.00
_cell_angle_beta 90.00
_cell_angle_gamma 90.00
_symmetry_space_group_name_H-M 'A m m 2'
_symmetry_Int_Tables_number 38
_symmetry_space_group_name_Hall 'A 2 -2'
loop_
_atom_site_label
_atom_site_type_symbol
_atom_site_fract_x
_atom_site_fract_y
_atom_site_fract_z
Y1 Y 0.000 0.210 0.000
Er1 Er 0.000 0.000 0.631
Mg1 Mg 0.500 0.000 0.970
Mg2 Mg 0.500 0.121 0.332
Al1 Al 0.500 0.166 0.710
Zn1 Zn 0.000 0.000 0.214
# Crystal system: orthorhombic

---

# LiUPb, relaxed, DFT PBE
data_LiUPb
_chemical_formula_sum 'Li4 U4 Pb4'
_cell_length_a 7.174
_cell_length_b 7.174
_cell_length_c 7.174
_cell_angle_alpha 90.00
_cell_angle_beta 90.00
_cell_angle_gamma 90.00
_symmetry_space_group_name_H-M 'F -4 3 m'
_symmetry_Int_Tables_number 216
_symmetry_space_group_name_Hall 'F -4 2 3'
loop_
_atom_site_label
_atom_site_type_symbol
_atom_site_fract_x
_atom_site_fract_y
_atom_site_fract_z
Li1 Li 0.000 0.000 0.000
U1 U 0.250 0.250 0.250
Pb1 Pb 0.000 0.000 0.500
# Crystal system: cubic

---

# FeCoNiSb, relaxed, DFT PBE
data_FeCoNiSb
_chemical_formula_sum 'Fe4 Co4 Ni4 Sb4'
_cell_length_a 5.967
_cell_length_b 5.967
_cell_length_c 5.967
_cell_angle_alpha 90.00
_cell_angle_beta 90.00
_cell_angle_gamma 90.00
_symmetry_space_group_name_H-M 'F -4 3 m'
_symmetry_Int_Tables_number 216
_symmetry_space_group_name_Hall 'F -4 2 3'
loop_
_atom_site_label
_atom_site_type_symbol
_atom_site_fract_x
_atom_site_fract_y
_atom_site_fract_z
Fe1 Fe 0.000 0.000 0.000
Co1 Co 0.250 0.250 0.750
Ni1 Ni 0.250 0.250 0.250
Sb1 Sb 0.000 0.000 0.500
# Relative energy among the computed polymorphs: 0 meV per atom
# Crystal system: cubic

---

# BeCoNi2, relaxed, DFT PBE
data_BeCoNi2
_chemical_formula_sum 'Be4 Co4 Ni8'
_cell_length_a 5.411
_cell_length_b 5.411
_cell_length_c 5.411
_cell_angle_alpha 90.00
_cell_angle_beta 90.00
_cell_angle_gamma 90.00
_symmetry_space_group_name_H-M 'F -4 3 m'
_symmetry_Int_Tables_number 216
_symmetry_space_group_name_Hall 'F -4 2 3'
loop_
_atom_site_label
_atom_site_type_symbol
_atom_site_fract_x
_atom_site_fract_y
_atom_site_fract_z
Be1 Be 0.000 0.000 0.000
Co1 Co 0.250 0.250 0.250
Ni1 Ni 0.000 0.000 0.500
Ni2 Ni 0.250 0.250 0.750
# Crystal system: cubic

---

# Th2BeGa3, relaxed, DFT PBE
data_Th2BeGa3
_chemical_formula_sum 'Th2 Be1 Ga3'
_cell_length_a 4.155
_cell_length_b 4.266
_cell_length_c 7.214
_cell_angle_alpha 90.00
_cell_angle_beta 90.00
_cell_angle_gamma 90.00
_symmetry_space_group_name_H-M 'P m m 2'
_symmetry_Int_Tables_number 25
_symmetry_space_group_name_Hall 'P 2 -2'
loop_
_atom_site_label
_atom_site_type_symbol
_atom_site_fract_x
_atom_site_fract_y
_atom_site_fract_z
Th1 Th 0.000 0.000 0.000
Th2 Th 0.500 0.000 0.491
Be1 Be 0.500 0.500 0.167
Ga1 Ga 0.000 0.500 0.313
Ga2 Ga 0.000 0.500 0.659
Ga3 Ga 0.500 0.500 0.848
# Crystal system: orthorhombic

---

# Nd2Ag2O5, relaxed, DFT PBE
data_Nd2Ag2O5
_chemical_formula_sum 'Nd2 Ag2 O5'
_cell_length_a 4.148
_cell_length_b 4.148
_cell_length_c 7.144
_cell_angle_alpha 90.00
_cell_angle_beta 90.00
_cell_angle_gamma 90.00
_symmetry_space_group_name_H-M 'P 4/m m m'
_symmetry_Int_Tables_number 123
_symmetry_space_group_name_Hall '-P 4 2'
loop_
_atom_site_label
_atom_site_type_symbol
_atom_site_fract_x
_atom_site_fract_y
_atom_site_fract_z
Nd1 Nd 0.000 0.000 0.000
Nd2 Nd 0.000 0.000 0.500
Ag1 Ag 0.500 0.500 0.194
O1 O 0.000 0.500 0.218
O2 O 0.500 0.500 0.500
# Relative energy among the computed polymorphs: 0 meV per atom
# Crystal system: tetragonal

---

# Rb2DyTlI6, relaxed, DFT PBE
data_Rb2DyTlI6
_chemical_formula_sum 'Rb8 Dy4 Tl4 I24'
_cell_length_a 12.704
_cell_length_b 12.704
_cell_length_c 12.704
_cell_angle_alpha 90.00
_cell_angle_beta 90.00
_cell_angle_gamma 90.00
_symmetry_space_group_name_H-M 'F m -3 m'
_symmetry_Int_Tables_number 225
_symmetry_space_group_name_Hall '-F 4 2 3'
loop_
_atom_site_label
_atom_site_type_symbol
_atom_site_fract_x
_atom_site_fract_y
_atom_site_fract_z
Rb1 Rb 0.250 0.250 0.250
Dy1 Dy 0.000 0.000 0.000
Tl1 Tl 0.000 0.000 0.500
I1 I 0.000 0.000 0.238
# Crystal system: cubic

---

# YTmC2, relaxed, DFT PBE
data_YTmC2
_chemical_formula_sum 'Y2 Tm2 C4'
_cell_length_a 3.845
_cell_length_b 5.538
_cell_length_c 6.676
_cell_angle_alpha 90.00
_cell_angle_beta 90.00
_cell_angle_gamma 90.00
_symmetry_space_group_name_H-M 'A m m 2'
_symmetry_Int_Tables_number 38
_symmetry_space_group_name_Hall 'A 2 -2'
loop_
_atom_site_label
_atom_site_type_symbol
_atom_site_fract_x
_atom_site_fract_y
_atom_site_fract_z
Y1 Y 0.000 0.000 0.000
Tm1 Tm 0.500 0.000 0.433
C1 C 0.500 0.126 0.778
# Crystal system: orthorhombic

---

no.,uncorrected energy (eV per formula unit)
1,-22.9
2,-71.1
3,-13.1
4,-36.3
5,-42.4
6,-18.6
7,-25.5
8,-33.9
9,-14.3
10,-25.0
11,-22.3
12,-30.8
13,-53.6
14,-30.7
15,-29.5